Density functional theory data (PBE) for a relaxed CrCdSi2 crystal.

## Properties
The value obtained for the spin magnetization is 0.000 μB/atom. The value obtained for the uncorrected formation energy is 0.1656 eV per atom.

a = 2.6123 Å, b = 4.0256 Å, c = 12.7808 Å
α = 90.00°, β = 90.00°, γ = 90.00°
Space group Imm2 (No. 44)
Asymmetric unit:
Cr 0.0000 0.0000 0.0000
Cd 0.0000 0.5000 0.2964
Si 0.0000 0.0000 0.4862
Si 0.0000 0.5000 0.6627

Density functional theory data (PBE) for a relaxed CrCdSi2 crystal.

## Properties
The value obtained for the spin magnetization is 0.632 μB/atom. The value obtained for the uncorrected formation energy is 0.5033 eV per atom.

a = 5.6696 Å, b = 8.8337 Å, c = 2.9993 Å
α = 90.00°, β = 120.11°, γ = 90.00°
Space group C2/m (No. 12)
Asymmetric unit:
Cr 0.0000 0.0000 0.0000
Cd 0.0000 0.5000 0.0000
Si 0.2500 0.2500 0.0000

Density functional theory data (PBE) for a relaxed CrCdSi2 crystal.

## Properties
The value obtained for the spin magnetization is 0.151 μB/atom. The value obtained for the uncorrected formation energy is 0.2089 eV per atom.

a = 3.0413 Å, b = 3.0413 Å, c = 6.7422 Å
α = 90.00°, β = 90.00°, γ = 90.00°
Space group P4/mmm (No. 123)
Asymmetric unit:
Cr 0.0000 0.0000 0.0000
Cd 0.0000 0.0000 0.5000
Si 0.5000 0.5000 0.1838

Density functional theory data (PBE) for a relaxed CrCd2Si crystal.

## Properties
The value obtained for the spin magnetization is 0.546 μB/atom. The value obtained for the uncorrected formation energy is 0.1949 eV per atom.

a = 2.9155 Å, b = 3.7272 Å, c = 6.9434 Å
α = 90.00°, β = 101.88°, γ = 90.00°
Space group Pm (No. 6)
Asymmetric unit:
Cr 0.0000 0.0000 0.0000
Cd 0.3401 0.5000 0.6790
Cd 0.6964 0.0000 0.3940
Si 0.5376 0.5000 0.0765

Density functional theory data (PBE) for a relaxed Cr2CdSi crystal.

## Properties
The value obtained for the spin magnetization is 0.000 μB/atom. The value obtained for the uncorrected formation energy is 0.3611 eV per atom.

a = 3.1142 Å, b = 4.3768 Å, c = 8.7707 Å
α = 90.00°, β = 90.00°, γ = 90.00°
Space group Cmm2 (No. 35)
Asymmetric unit:
Cr 0.0000 0.0000 0.0000
Cr 0.0000 0.5000 0.1977
Cd 0.0000 0.5000 0.7288
Si 0.0000 0.0000 0.4090

Density functional theory data (PBE) for a relaxed Cr2CdSi crystal.

## Properties
The value obtained for the spin magnetization is 0.089 μB/atom. The value obtained for the uncorrected formation energy is 0.3468 eV per atom.

a = 8.3197 Å, b = 2.9268 Å, c = 5.2229 Å
α = 90.00°, β = 98.57°, γ = 90.00°
Space group Cm (No. 8)
Asymmetric unit:
Cr 0.0000 0.0000 0.0000
Cr 0.2264 0.5000 0.1772
Cd 0.4846 0.0000 0.4914
Si 0.2560 0.0000 0.8004

Density functional theory data (PBE) for a relaxed CrCd4Si crystal.

## Properties
The value obtained for the spin magnetization is 0.723 μB/atom. The value obtained for the uncorrected formation energy is 0.5054 eV per atom.

a = 8.0399 Å, b = 8.0399 Å, c = 8.0399 Å
α = 90.00°, β = 90.00°, γ = 90.00°
Space group F-43m (No. 216)
Asymmetric unit:
Cr 0.0000 0.0000 0.0000
Cd 0.1253 0.1253 0.3747
Si 0.2500 0.2500 0.7500

Density functional theory data (PBE) for a relaxed Cr2CdSi crystal.

## Properties
The value obtained for the spin magnetization is 0.136 μB/atom. The value obtained for the uncorrected formation energy is 0.2292 eV per atom.

a = 2.9848 Å, b = 2.9848 Å, c = 6.6815 Å
α = 90.00°, β = 90.00°, γ = 90.00°
Space group P4mm (No. 99)
Asymmetric unit:
Cr 0.0000 0.0000 0.0000
Cr 0.5000 0.5000 0.1907
Cd 0.5000 0.5000 0.7062
Si 0.0000 0.0000 0.3859